Below is a relaxed structure of MnAuC2, with properties calculated at the PBE level.

Lattice parameters (Å, degrees): 5.547 5.547 5.547 90.00 90.00 90.00
Sites, in units of the cell vectors:
1 Mn 0.000 0.000 0.000
2 Mn 0.000 0.500 0.500
3 Mn 0.500 0.000 0.500
4 Mn 0.500 0.500 0.000
5 Au 0.000 0.000 0.500
6 Au 0.000 0.500 0.000
7 Au 0.500 0.000 0.000
8 Au 0.500 0.500 0.500
9 C 0.250 0.250 0.250
10 C 0.250 0.250 0.750
11 C 0.250 0.750 0.250
12 C 0.250 0.750 0.750
13 C 0.750 0.250 0.250
14 C 0.750 0.250 0.750
15 C 0.750 0.750 0.250
16 C 0.750 0.750 0.750

Summary:
The mass density is 10.7 g/cm³. As for the energy of formation: 7.7 eV per formula unit. The calculation puts the volume at 10.67 A^3/atom. The total energy comes out at -92.7 eV per cell. As for the energy above the most stable polymorph in this dataset: 3.62 eV per formula unit.